No. 1
Compound: Pr3EuIr
Source: Alexandria via LeMat-Bulk
Functional: PBE
Structure: optimized geometry

The structure in POSCAR format:
```
Pr3EuIr
1.0
5.717 0.000 0.000
0.000 5.717 0.000
0.000 0.000 5.717
Pr Eu Ir
3 1 1
Cartesian
0.000 0.000 2.859 Pr
0.000 2.859 0.000 Pr
2.859 0.000 0.000 Pr
2.859 2.859 2.859 Eu
0.000 0.000 0.000 Ir
```

Results
DFT formation energy ... -218 meV per atom



No. 2
Compound: PrEuIr4
Source: Alexandria via LeMat-Bulk
Functional: PBE
Structure: optimized geometry

The structure in POSCAR format:
```
PrEuIr4
1.0
0.000 3.848 3.848
3.848 0.000 3.848
3.848 3.848 0.000
Pr Eu Ir
1 1 4
Cartesian
0.000 0.000 0.000 Pr
1.924 1.924 1.924 Eu
4.809 2.886 2.886 Ir
2.886 4.809 2.886 Ir
2.886 2.886 4.809 Ir
4.809 4.809 4.809 Ir
```

Results
DFT formation energy ... -576 meV per atom



Which value of DFT formation energy does entry 1 give? -218 meV per atom